[1]
BeCoTcAs (PBE, optimized geometry); calculated total energy = -6.094 eV/atom; space group = F-43m, No. 216
1.0
0.0000 2.9323 2.9323
2.9323 0.0000 2.9323
2.9323 2.9323 0.0000
Be Co Tc As
1 1 1 1
direct
0.0000 0.0000 0.0000
0.5000 0.5000 0.5000
0.7500 0.7500 0.7500
0.2500 0.2500 0.2500

---

[2]
K2Pd2O3 (PBE, optimized geometry); calculated total energy = -4.548 eV/atom; space group = I2_13, No. 199
1.0
-4.2099 4.2099 4.2099
4.2099 -4.2099 4.2099
4.2099 4.2099 -4.2099
K Pd O
4 4 6
direct
0.0000 0.0454 0.5000
0.0454 0.5000 0.0000
0.4546 0.4546 0.4546
0.5000 0.0000 0.0454
0.0000 0.6072 0.5000
0.5000 0.0000 0.6072
0.6072 0.5000 0.0000
0.8928 0.8928 0.8928
0.0660 0.7500 0.8160
0.2500 0.6840 0.4340
0.4340 0.2500 0.6840
0.6840 0.4340 0.2500
0.7500 0.8160 0.0660
0.8160 0.0660 0.7500

---

[3]
SnSb4W2 (PBE, optimized geometry); calculated total energy = -5.937 eV/atom; space group = P4/mmm, No. 123
1.0
4.7700 0.0000 0.0000
0.0000 4.7700 0.0000
0.0000 0.0000 7.0797
Sn Sb W
1 4 2
direct
0.0000 0.0000 0.0000
0.0000 0.5000 0.2756
0.0000 0.5000 0.7244
0.5000 0.0000 0.2756
0.5000 0.0000 0.7244
0.0000 0.0000 0.5000
0.5000 0.5000 0.0000

---

[4]
K4CdSi2O7 (PBE, optimized geometry); calculated total energy = -5.725 eV/atom; space group = P-1, No. 2
1.0
6.1764 0.0000 0.0000
-1.5116 6.3731 0.0000
-1.3640 -2.7342 6.1064
K Cd Si O
4 1 2 7
direct
0.0938 0.0519 0.2919
0.3082 0.5673 0.2248
0.6918 0.4327 0.7752
0.9062 0.9481 0.7081
0.5000 0.0000 0.0000
0.2149 0.5565 0.7207
0.7851 0.4435 0.2793
0.0000 0.5000 0.5000
0.1575 0.7365 0.9295
0.2238 0.3181 0.7370
0.4593 0.7085 0.6995
0.5407 0.2915 0.3005
0.7762 0.6819 0.2630
0.8425 0.2635 0.0705

---

[5]
ZnTcNiHg (PBE, optimized geometry); E_form = 0.416 eV per atom; space group = F-43m, No. 216
1.0
0.0000 3.1349 3.1349
3.1349 0.0000 3.1349
3.1349 3.1349 0.0000
Zn Tc Ni Hg
1 1 1 1
direct
0.0000 0.0000 0.0000
0.7500 0.7500 0.7500
0.2500 0.2500 0.2500
0.5000 0.5000 0.5000

---

[6]
Cs3TcO4 (PBE, optimized geometry); calculated total energy = -5.599 eV/atom; space group = Imm2, No. 44
1.0
-3.1998 4.4920 3.4284
3.1998 -4.4920 3.4284
3.1998 4.4920 -3.4284
Cs Tc O
3 1 4
direct
0.0000 0.0000 0.0000
0.2786 0.5164 0.7623
0.7541 0.5164 0.2377
0.4745 0.9745 0.5000
0.3070 0.0343 0.7274
0.3070 0.5796 0.2726
0.4491 0.1212 0.3279
0.7933 0.1212 0.6721